# 1
LaNbSb2Te, relaxed, DFT GGA-PBE; space group = P4/mmm; formation energy from raw total energies = 1.03 eV per atom; final energy = -4.24 eV per atom; E above lowest polymorph = 1266 meV/atom; total moment = 2.95 μB per formula unit
1.0
5.942 0.000 0.000
0.000 5.942 0.000
0.000 0.000 5.971
La Nb Sb Te
1 1 2 1
direct
0.000 0.000 0.000
0.500 0.500 0.500
0.000 0.500 0.000
0.500 0.000 0.000
0.000 0.000 0.500


# 2
LaScNb3, relaxed, DFT GGA-PBE; space group = Pm-3m; final energy = -7.06 eV per atom; E above lowest polymorph = 0 meV/atom; total moment = 0.00 μB per formula unit; E_form = 1.2376 eV per atom
1.0
4.961 0.000 0.000
0.000 4.961 0.000
0.000 0.000 4.961
La Sc Nb
1 1 3
direct
0.000 0.000 0.000
0.500 0.500 0.500
0.000 0.500 0.500
0.500 0.000 0.500
0.500 0.500 0.000


# 3
La3ScNb, relaxed, DFT GGA-PBE; space group = Pm-3m; final energy = -5.75 eV per atom; E above lowest polymorph = 0 meV/atom; total moment = 0.00 μB per formula unit; E_form = 0.4914 eV per atom
1.0
5.605 0.000 0.000
0.000 5.605 0.000
0.000 0.000 5.605
La Sc Nb
3 1 1
direct
0.000 0.000 0.500
0.000 0.500 0.000
0.500 0.000 0.000
0.500 0.500 0.500
0.000 0.000 0.000


# 4
LaScNb, relaxed, DFT GGA-PBE; space group = Amm2; final energy = -6.79 eV per atom; total moment = 0.00 μB per formula unit; E_form = 0.3169 eV per atom
1.0
14.869 0.000 0.000
0.000 2.233 2.231
0.000 -2.233 2.231
La Sc Nb
2 2 2
direct
0.189 0.000 0.000
0.811 0.000 0.000
0.000 0.501 0.501
0.500 0.999 0.999
0.356 0.499 0.499
0.644 0.499 0.499


# 5
LaScNbTe2, relaxed, DFT GGA-PBE; space group = P4/mmm; formation energy from raw total energies = -0.03 eV per atom; final energy = -5.55 eV per atom; total moment = 0.29 μB per formula unit
1.0
5.538 0.000 0.000
0.000 5.538 0.000
0.000 0.000 4.672
La Sc Nb Te
1 1 1 2
direct
0.000 0.000 0.000
0.500 0.500 0.500
0.500 0.500 0.000
0.000 0.500 0.500
0.500 0.000 0.500


# 6
LaSc2TiNb, relaxed, DFT GGA-PBE; space group = P4/mmm; final energy = -5.78 eV per atom; total moment = 0.00 μB per formula unit; E_form = 1.3329 eV per atom
1.0
5.065 0.000 0.000
0.000 5.065 0.000
0.000 0.000 4.945
La Sc Ti Nb
1 2 1 1
direct
0.000 0.000 0.000
0.000 0.500 0.000
0.500 0.000 0.000
0.500 0.500 0.500
0.000 0.000 0.500


# 7
LaScNbW2, relaxed, DFT GGA-PBE; space group = P4/mmm; final energy = -7.78 eV per atom; total moment = 0.00 μB per formula unit; E_form = 1.6684 eV per atom
1.0
4.871 0.000 0.000
0.000 4.871 0.000
0.000 0.000 4.860
La Sc Nb W
1 1 1 2
direct
0.000 0.000 0.000
0.500 0.500 0.500
0.500 0.500 0.000
0.000 0.500 0.500
0.500 0.000 0.500


# 8
La2ZrScNb, relaxed, DFT GGA-PBE; space group = P4/mmm; final energy = -6.19 eV per atom; total moment = 0.00 μB per formula unit; E_form = 0.7668 eV per atom
1.0
5.436 0.000 0.000
0.000 5.436 0.000
0.000 0.000 5.255
La Zr Sc Nb
2 1 1 1
direct
0.000 0.500 0.000
0.500 0.000 0.000
0.000 0.000 0.500
0.500 0.500 0.500
0.500 0.500 0.000